[1]
# BaNpTl2Cl8

BaNpTl2Cl8 after structural relaxation (PBE-GGA, the Alexandria database).

Calculated values
* SG: P2/m
* E_form (uncorrected): -19.72 eV/f.u.
* E: -4.5078 eV/atom

Cell: 5.977 7.848 9.325 Å, 89.98 90.01 104.70°
Last column: magnetic moment on the atom in μB.
Fractional positions:
Ba 0.000 0.000 0.500  0.00
Np 0.000 0.000 0.000  3.15
Tl 0.500 0.500 0.746  0.00
Tl 0.500 0.500 0.254  0.00
Cl 0.059 0.789 0.213  -0.02
Cl 0.582 0.807 0.000  -0.04
Cl 0.941 0.211 0.213  -0.02
Cl 0.941 0.211 0.787  -0.02
Cl 0.418 0.193 0.000  -0.04
Cl 0.059 0.789 0.787  -0.02
Cl 0.509 0.758 0.500  0.00
Cl 0.491 0.242 0.500  0.00



[2]
# RbLiTmBr5

RbLiTmBr5 after structural relaxation (PBE-GGA, the Alexandria database).

Calculated values
* SG: C2/c
* E_form (uncorrected): -14.11 eV/f.u.
* E: -3.7280 eV/atom

Cell: 7.929 7.929 10.557 Å, 103.57 103.57 107.26°
Fractional positions:
Rb 0.344 0.656 0.250
Rb 0.656 0.344 0.750
Li 0.692 0.308 0.250
Li 0.308 0.692 0.750
Tm 0.000 0.000 0.500
Tm 0.000 0.000 0.000
Br 0.071 0.929 0.250
Br 0.929 0.071 0.750
Br 0.903 0.300 0.101
Br 0.097 0.700 0.899
Br 0.700 0.097 0.399
Br 0.300 0.903 0.601
Br 0.763 0.632 0.425
Br 0.237 0.368 0.575
Br 0.368 0.237 0.075
Br 0.632 0.763 0.925



[3]
# ZrFe8B4

ZrFe8B4 after structural relaxation (PBE-GGA, the Alexandria database).

Calculated values
* SG: I4/mmm
* E: -8.0736 eV/atom
* formation enthalpy at 0 K: -0.154 eV/atom

Cell: 4.381 5.823 5.823 Å, 81.87 67.90 67.90°
Last column: magnetic moment on the atom in μB.
Fractional positions:
Zr 0.000 0.000 0.000  -0.23
Fe 0.000 0.349 0.651  1.70
Fe 0.000 0.651 0.349  1.70
Fe 0.349 0.651 0.651  1.70
Fe 0.651 0.349 0.349  1.70
Fe 0.500 0.777 0.223  1.44
Fe 0.500 0.223 0.777  1.44
Fe 0.277 0.223 0.223  1.44
Fe 0.723 0.777 0.777  1.44
B 0.000 0.000 0.500  -0.09
B 0.500 0.000 0.500  -0.09
B 0.000 0.500 0.000  -0.09
B 0.500 0.500 0.000  -0.09



[4]
# Y8Tl2Ir

Y8Tl2Ir after structural relaxation (PBE-GGA, the Alexandria database).

Calculated values
* SG: Cm
* ΔE to the lowest computed polymorph: 0.035 eV per atom
* E: -6.2211 eV/atom
* formation enthalpy at 0 K: -0.284 eV/atom

Cell: 6.005 9.075 9.075 Å, 121.86 108.21 108.21°
Fractional positions:
Y 0.694 0.409 0.173
Y 0.694 0.173 0.409
Y 0.040 0.183 0.183
Y 0.999 0.194 0.809
Y 0.999 0.809 0.194
Y 0.716 0.672 0.672
Y 0.322 0.899 0.671
Y 0.322 0.671 0.899
Tl 0.462 0.702 0.307
Tl 0.462 0.307 0.702
Ir 0.289 0.015 0.015



[5]
# PdN2Cl3

PdN2Cl3 after structural relaxation (PBE-GGA, the Alexandria database).

Calculated values
* SG: C2/c
* E_form (uncorrected): -0.98 eV/f.u.
* E: -4.7278 eV/atom

Cell: 9.122 9.122 32.850 Å, 150.68 150.68 55.03°
Last column: magnetic moment on the atom in μB.
Fractional positions:
Pd 0.111 0.889 0.250  0.47
Pd 0.889 0.111 0.750  0.47
N 0.127 0.660 0.080  0.00
N 0.340 0.873 0.420  0.00
N 0.873 0.340 0.920  0.00
N 0.660 0.127 0.580  0.00
Cl 0.173 0.392 0.431  0.12
Cl 0.608 0.827 0.069  0.12
Cl 0.827 0.608 0.569  0.12
Cl 0.392 0.173 0.931  0.12
Cl 0.378 0.622 0.250  0.16
Cl 0.622 0.378 0.750  0.16



[6]
# HoSi2Ni10

HoSi2Ni10 after structural relaxation (PBE-GGA, the Alexandria database).

Calculated values
* SG: Fmmm
* ΔE to the lowest computed polymorph: 0.088 eV per atom
* E_form (uncorrected): -4.64 eV/f.u.
* E: -5.9902 eV/atom

Cell: 4.801 6.268 6.143 Å, 81.39 67.00 67.48°
Fractional positions:
Ho 0.000 0.000 0.000
Si 0.000 0.500 0.000
Si 0.500 0.500 0.000
Ni 0.348 0.646 0.657
Ni 0.652 0.354 0.343
Ni 0.994 0.354 0.657
Ni 0.006 0.646 0.343
Ni 0.000 0.000 0.500
Ni 0.500 0.000 0.500
Ni 0.275 0.230 0.221
Ni 0.725 0.770 0.779
Ni 0.505 0.770 0.221
Ni 0.495 0.230 0.779



[7]
# PrGd2Bi

PrGd2Bi after structural relaxation (PBE-GGA, the Alexandria database).

Calculated values
* SG: P4/mmm
* ΔE to the lowest computed polymorph: 0.000 eV per atom
* E: -9.6222 eV/atom
* formation enthalpy at 0 K: -0.417 eV/atom

Cell: 4.985 4.946 4.946 Å, 90.00 90.00 90.00°
Last column: magnetic moment on the atom in μB.
Fractional positions:
Pr 0.500 0.500 0.500  0.04
Gd 0.000 0.000 0.500  7.21
Gd 0.000 0.500 0.000  7.21
Bi 0.500 0.000 0.000  -0.05



[8]
# NaRhSN2

NaRhSN2 after structural relaxation (PBE-GGA, the Alexandria database).

Calculated values
* SG: P4/mmm
* ΔE to the lowest computed polymorph: 0.000 eV per atom
* E_form (uncorrected): 3.44 eV/f.u.
* E: -5.2017 eV/atom

Cell: 3.825 3.825 5.226 Å, 90.00 90.00 90.00°
Last column: magnetic moment on the atom in μB.
Fractional positions:
Na 0.500 0.500 0.500  0.00
S 0.000 0.000 0.500  0.02
Rh 0.000 0.000 0.000  -0.01
N 0.000 0.500 0.000  0.05
N 0.500 0.000 0.000  0.05



[9]
# AcPm3Pd

AcPm3Pd after structural relaxation (PBE-GGA, the Alexandria database).

Calculated values
* SG: P2_1/c
* ΔE to the lowest computed polymorph: 0.000 eV per atom
* E: -4.9623 eV/atom
* formation enthalpy at 0 K: -0.252 eV/atom

Cell: 7.612 8.447 10.524 Å, 106.93 90.00 90.00°
Fractional positions:
Ac 0.966 0.681 0.258
Ac 0.034 0.319 0.742
Ac 0.466 0.319 0.242
Ac 0.534 0.681 0.758
Pm 0.132 0.090 0.393
Pm 0.868 0.910 0.607
Pm 0.632 0.910 0.107
Pm 0.368 0.090 0.893
Pm 0.489 0.784 0.379
Pm 0.511 0.216 0.621
Pm 0.989 0.216 0.121
Pm 0.011 0.784 0.879
Pm 0.207 0.556 0.521
Pm 0.793 0.444 0.479
Pm 0.707 0.444 0.979
Pm 0.293 0.556 0.021
Pd 0.256 0.932 0.604
Pd 0.744 0.068 0.396
Pd 0.756 0.068 0.896
Pd 0.244 0.932 0.104



[10]
# MgZnGa2

MgZnGa2 after structural relaxation (PBE-GGA, the Alexandria database).

Calculated values
* SG: P4/mmm
* E: -2.2893 eV/atom
* formation enthalpy at 0 K: -0.059 eV/atom

Cell: 4.091 4.187 4.187 Å, 90.00 90.00 90.00°
Fractional positions:
Zn 0.500 0.000 0.000
Mg 0.500 0.500 0.500
Ga 0.000 0.000 0.500
Ga 0.000 0.500 0.000



[11]
# TiV2Os

TiV2Os after structural relaxation (PBE-GGA, the Alexandria database).

Calculated values
* SG: I-42d
* E: -9.0202 eV/atom
* formation enthalpy at 0 K: 0.320 eV/atom

Cell: 6.956 6.956 5.561 Å, 51.29 51.29 90.00°
Fractional positions:
V 0.651 0.125 0.250
V 0.099 0.625 0.250
V 0.375 0.349 0.750
V 0.875 0.901 0.750
Os 0.000 0.000 0.000
Os 0.750 0.250 0.500
Ti 0.500 0.500 0.000
Ti 0.250 0.750 0.500



[12]
# ZrCu2Au2

ZrCu2Au2 after structural relaxation (PBE-GGA, the Alexandria database).

Calculated values
* SG: I4/mmm
* ΔE to the lowest computed polymorph: 0.036 eV per atom
* E: -4.8008 eV/atom
* formation enthalpy at 0 K: -0.142 eV/atom

Cell: 3.623 3.623 7.151 Å, 75.33 75.33 90.00°
Fractional positions:
Au 0.394 0.394 0.211
Au 0.606 0.606 0.789
Cu 0.750 0.250 0.500
Cu 0.250 0.750 0.500
Zr 0.000 0.000 0.000



Number 1: spin magnetization 3.00 μB per cell. Number 2: spin magnetization 0.00 μB per cell. Number 3: spin magnetization 11.91 μB per cell. Number 4: spin magnetization 0.01 μB per cell. Number 5: spin magnetization 1.98 μB per cell. Number 6: spin magnetization 0.00 μB per cell. Number 7: spin magnetization 14.98 μB per cell. Number 8: spin magnetization 0.16 μB per cell. Number 9: spin magnetization 0.00 μB per cell. Number 10: spin magnetization 0.00 μB per cell. Number 11: spin magnetization 0.00 μB per cell. Number 12: spin magnetization 0.00 μB per cell.